Record 1
Entry from the Open Quantum Materials Database: Dy3Y2S7 after structural relaxation (GGA-PBE).

Energy: -6.71 eV per atom
Theoretical density: 5.38 Mg/m³
Total magnetization: 0.00 Bohr magnetons per cell

a b c (Å): 6.6971 6.6971 11.6060
angles (deg): 104.03 104.03 33.02
Closest atoms and distances in Å follow each position.
Atoms (fractional coordinates):
1 Dy 0.0000 0.0000 0.0000  6 S 2.68-2.75
2 Dy 0.1120 0.1120 0.4213  6 S 2.68-2.82
3 Dy 0.8880 0.8880 0.5787  6 S 2.68-2.82
4 Y 0.3004 0.3004 0.1880  7 S 2.75-2.95
5 Y 0.6996 0.6996 0.8120  7 S 2.75-2.95
6 S 0.0411 0.0411 0.7849  2 Dy 2.68-2.69, 2 Y 2.75
7 S 0.2593 0.2593 0.6476  3 Dy 2.77-2.82, 2 Y 2.93
8 S 0.3409 0.3409 0.9487  2 Dy 2.75, 3 Y 2.82-2.95
9 S 0.5000 0.5000 0.5000  4 Dy 2.68
10 S 0.6591 0.6591 0.0513  2 Dy 2.75, 3 Y 2.82-2.95
11 S 0.7407 0.7407 0.3524  3 Dy 2.77-2.82, 2 Y 2.93
12 S 0.9589 0.9589 0.2151  2 Dy 2.68-2.69, 2 Y 2.75

Record 2
Entry from the Open Quantum Materials Database: LiTe4PbAu3 after structural relaxation (GGA-PBE).

Energy: -3.21 eV per atom
Theoretical density: 7.97 Mg/m³

a b c (Å): 6.4954 6.4954 6.4954
angles (deg): 90.00 90.00 90.00
Closest atoms and distances in Å follow each position.
Atoms (fractional coordinates):
1 Li 0.0000 0.0000 0.0000  4 Te 2.60
2 Te 0.2308 0.2308 0.2308  1 Li 2.60, 3 Au 2.89
3 Te 0.2308 0.7692 0.7692  1 Li 2.60, 3 Au 2.89
4 Te 0.7692 0.2308 0.7692  1 Li 2.60, 3 Au 2.89
5 Te 0.7692 0.7692 0.2308  1 Li 2.60, 3 Au 2.89
6 Pb 0.5000 0.5000 0.5000  4 Te 3.03, 6 Au 3.25
7 Au 0.0000 0.5000 0.5000  4 Te 2.89
8 Au 0.5000 0.0000 0.5000  4 Te 2.89
9 Au 0.5000 0.5000 0.0000  4 Te 2.89

Record 3
Entry from the Open Quantum Materials Database: GdCuMo after structural relaxation (GGA-PBE).

Energy: -5.39 eV per atom
Theoretical density: 8.03 Mg/m³
Energy relative to the elements: 1.017 eV per atom
Total magnetization: 8.86 Bohr magnetons per cell

a b c (Å): 6.3998 6.3998 6.3998
angles (deg): 90.00 90.00 90.00
Closest atoms and distances in Å follow each position.
Atoms (fractional coordinates):
1 Gd 0.0000 0.0000 0.0000  4 Mo 2.77
2 Gd 0.0000 0.5000 0.5000  4 Mo 2.77
3 Gd 0.5000 0.0000 0.5000  4 Mo 2.77
4 Gd 0.5000 0.5000 0.0000  4 Mo 2.77
5 Cu 0.0000 0.0000 0.5000  4 Mo 2.77
6 Cu 0.0000 0.5000 0.0000  4 Mo 2.77
7 Cu 0.5000 0.0000 0.0000  4 Mo 2.77
8 Cu 0.5000 0.5000 0.5000  4 Mo 2.77
9 Mo 0.2500 0.2500 0.7500  4 Gd 2.77, 4 Cu 2.77
10 Mo 0.2500 0.7500 0.2500  4 Gd 2.77, 4 Cu 2.77
11 Mo 0.7500 0.2500 0.2500  4 Gd 2.77, 4 Cu 2.77
12 Mo 0.7500 0.7500 0.7500  4 Gd 2.77, 4 Cu 2.77

Record 4
Entry from the Open Quantum Materials Database: MgZrGeOs after structural relaxation (GGA-PBE).

Energy: -6.50 eV per atom
Theoretical density: 9.41 Mg/m³
Total magnetization: 0.02 Bohr magnetons per cell

a b c (Å): 6.4396 6.4396 6.4396
angles (deg): 90.00 90.00 90.00
Closest atoms and distances in Å follow each position.
Atoms (fractional coordinates):
1 Mg 0.0000 0.0000 0.0000  4 Os 2.79, 4 Zr 2.79
2 Mg 0.0000 0.5000 0.5000  4 Os 2.79, 4 Zr 2.79
3 Mg 0.5000 0.0000 0.5000  4 Os 2.79, 4 Zr 2.79
4 Mg 0.5000 0.5000 0.0000  4 Os 2.79, 4 Zr 2.79
5 Zr 0.2500 0.2500 0.7500  4 Ge 2.79, 4 Mg 2.79
6 Zr 0.2500 0.7500 0.2500  4 Ge 2.79, 4 Mg 2.79
7 Zr 0.7500 0.2500 0.2500  4 Ge 2.79, 4 Mg 2.79
8 Zr 0.7500 0.7500 0.7500  4 Ge 2.79, 4 Mg 2.79
9 Ge 0.0000 0.0000 0.5000  4 Zr 2.79, 4 Os 2.79
10 Ge 0.0000 0.5000 0.0000  4 Zr 2.79, 4 Os 2.79
11 Ge 0.5000 0.0000 0.0000  4 Zr 2.79, 4 Os 2.79
12 Ge 0.5000 0.5000 0.5000  4 Zr 2.79, 4 Os 2.79
13 Os 0.2500 0.2500 0.2500  4 Ge 2.79, 4 Mg 2.79
14 Os 0.2500 0.7500 0.7500  4 Ge 2.79, 4 Mg 2.79
15 Os 0.7500 0.2500 0.7500  4 Ge 2.79, 4 Mg 2.79
16 Os 0.7500 0.7500 0.2500  4 Ge 2.79, 4 Mg 2.79

Record 5
Entry from the Open Quantum Materials Database: Gd2Hg after structural relaxation (GGA-PBE).

Energy: -2.95 eV per atom
Theoretical density: 9.93 Mg/m³
Energy relative to the elements: 0.257 eV per atom
Total magnetization: 0.40 Bohr magnetons per cell

a b c (Å): 6.2460 6.2460 6.2460
angles (deg): 60.00 60.00 60.00
Closest atoms and distances in Å follow each position.
Atoms (fractional coordinates):
1 Gd 0.0000 0.0000 0.0000  6 Gd 3.12
2 Gd 0.0000 0.0000 0.5000  6 Gd 3.12
3 Gd 0.0000 0.5000 0.0000  6 Gd 3.12
4 Gd 0.5000 0.0000 0.0000  6 Gd 3.12
5 Hg 0.3750 0.3750 0.3750  12 Gd 3.66, 4 Hg 3.82
6 Hg 0.6250 0.6250 0.6250  12 Gd 3.66, 4 Hg 3.82

Record 6
Entry from the Open Quantum Materials Database: BeCoIr after structural relaxation (GGA-PBE).

Energy: -6.50 eV per atom
Theoretical density: 12.23 Mg/m³
Total magnetization: 6.10 Bohr magnetons per cell

a b c (Å): 5.2082 5.2082 5.2082
angles (deg): 90.00 90.00 90.00
Closest atoms and distances in Å follow each position.
Atoms (fractional coordinates):
1 Be 0.0000 0.0000 0.0000  4 Co 2.26, 4 Ir 2.26
2 Be 0.0000 0.5000 0.5000  4 Ir 2.26, 4 Co 2.26
3 Be 0.5000 0.0000 0.5000  4 Ir 2.26, 4 Co 2.26
4 Be 0.5000 0.5000 0.0000  4 Ir 2.26, 4 Co 2.26
5 Co 0.2500 0.2500 0.2500  4 Be 2.26
6 Co 0.2500 0.7500 0.7500  4 Be 2.26
7 Co 0.7500 0.2500 0.7500  4 Be 2.26
8 Co 0.7500 0.7500 0.2500  4 Be 2.26
9 Ir 0.2500 0.2500 0.7500  4 Be 2.26
10 Ir 0.2500 0.7500 0.2500  4 Be 2.26
11 Ir 0.7500 0.2500 0.2500  4 Be 2.26
12 Ir 0.7500 0.7500 0.7500  4 Be 2.26

Record 7
Entry from the Open Quantum Materials Database: GdErCF2 after structural relaxation (GGA-PBE).

Energy: -6.85 eV per atom
Theoretical density: 8.61 Mg/m³
Total magnetization: 0.00 Bohr magnetons per cell

a b c (Å): 3.6301 3.6301 6.3297
angles (deg): 90.00 90.00 120.00
Closest atoms and distances in Å follow each position.
Atoms (fractional coordinates):
1 Gd 0.0000 0.0000 0.0000  4 F 2.40-2.60, 3 C 2.50
2 Er 0.3333 0.6667 0.5745  4 F 2.34-2.48, 3 C 2.48
3 C 0.6667 0.3333 0.7853  3 Er 2.48, 3 Gd 2.50
4 F 0.0000 0.0000 0.4112  3 Er 2.34, 3 F 2.54, 1 Gd 2.60
5 F 0.3333 0.6667 0.1832  3 Gd 2.40, 1 Er 2.48, 3 F 2.54

Record 8
Entry from the Open Quantum Materials Database: TlAg3SnS4 after structural relaxation (GGA-PBE).

Energy: -3.69 eV per atom
Theoretical density: 5.24 Mg/m³

a b c (Å): 6.5034 7.6651 10.2814
angles (deg): 90.00 106.64 90.00
Closest atoms and distances in Å follow each position.
Atoms (fractional coordinates):
1 Tl 0.1661 0.2500 0.1120  3 S 3.03-3.11
2 Tl 0.8339 0.7500 0.8880  3 S 3.03-3.11
3 Ag 0.2372 0.0556 0.5451  2 S 2.53-2.59
4 Ag 0.2372 0.4444 0.5451  2 S 2.53-2.59
5 Ag 0.3269 0.2500 0.8137  3 S 2.44-2.66
6 Ag 0.6731 0.7500 0.1863  3 S 2.44-2.66
7 Ag 0.7628 0.5556 0.4549  2 S 2.53-2.59
8 Ag 0.7628 0.9444 0.4549  2 S 2.53-2.59
9 Sn 0.1919 0.7500 0.2840  4 S 2.39-2.45
10 Sn 0.8081 0.2500 0.7160  4 S 2.39-2.45
11 S 0.0416 0.5025 0.7214  1 Sn 2.45, 2 Ag 2.53-2.66
12 S 0.0416 0.9975 0.7214  1 Sn 2.45, 2 Ag 2.53-2.66
13 S 0.2874 0.7500 0.0765  1 Sn 2.39, 1 Ag 2.44
14 S 0.4672 0.7500 0.5037  1 Sn 2.45, 2 Ag 2.59
15 S 0.5328 0.2500 0.4963  1 Sn 2.45, 2 Ag 2.59
16 S 0.7126 0.2500 0.9235  1 Sn 2.39, 1 Ag 2.44
17 S 0.9584 0.0025 0.2786  1 Sn 2.45, 2 Ag 2.53-2.66
18 S 0.9584 0.4975 0.2786  1 Sn 2.45, 2 Ag 2.53-2.66